CoAsP2O | GGA+U | optimized geometry

relative energy among the computed polymorphs = 0 meV/atom
calculated volume = 14.30 Å³ per atom

a = 4.587 Å, b = 4.587 Å, c = 3.397 Å
α = 90.00°, β = 90.00°, γ = 90.00°
Each line ends with the local moment (μB).
Fractional positions:
Co: 0.000 0.000 0.000  1.22
O: 0.000 0.000 0.500  0.35
P: 0.500 0.000 0.000  0.04
P: 0.000 0.500 0.000  0.04
As: 0.500 0.500 0.500  -0.01